#P
Compound: Te3ICl
Source: the Alexandria database
Functional: PBE
Structure: optimized geometry

Properties
Crystal system: cubic
Mass density, g cm⁻³: 4.48

```
data_Te3ICl
_chemical_formula_sum 'Te3 I1 Cl1'
_cell_length_a 5.867
_cell_length_b 5.867
_cell_length_c 5.867
_cell_angle_alpha 90.00
_cell_angle_beta 90.00
_cell_angle_gamma 90.00
_space_group_name_H-M_alt 'P m -3 m'
_space_group_IT_number 221
_space_group_name_Hall '-P 4 2 3'
loop_
_atom_site_label
_atom_site_type_symbol
_atom_site_fract_x
_atom_site_fract_y
_atom_site_fract_z
_atom_site_occupancy
Te1 Te 0.000 0.000 0.500 1
I1 I 0.000 0.000 0.000 1
Cl1 Cl 0.500 0.500 0.500 1
```

#Q
Compound: Te3ICl
Source: the Alexandria database
Functional: PBE
Structure: optimized geometry

Properties
Crystal system: cubic
Mass density, g cm⁻³: 5.41

```
data_Te3ICl
_chemical_formula_sum 'Te3 I1 Cl1'
_cell_length_a 5.511
_cell_length_b 5.511
_cell_length_c 5.511
_cell_angle_alpha 90.00
_cell_angle_beta 90.00
_cell_angle_gamma 90.00
_space_group_name_H-M_alt 'P m -3 m'
_space_group_IT_number 221
_space_group_name_Hall '-P 4 2 3'
loop_
_atom_site_label
_atom_site_type_symbol
_atom_site_fract_x
_atom_site_fract_y
_atom_site_fract_z
_atom_site_occupancy
Te1 Te 0.000 0.000 0.500 1
I1 I 0.500 0.500 0.500 1
Cl1 Cl 0.000 0.000 0.000 1
```

#Q ends up most stable, edging out the next structure by 100 meV/atom.

#P
Compound: TeI2Cl2
Source: the Alexandria database
Functional: PBE
Structure: optimized geometry

Properties
Crystal system: tetragonal
Mass density, g cm⁻³: 3.95

```
data_TeI2Cl2
_chemical_formula_sum 'Te2 I4 Cl4'
_cell_length_a 4.283
_cell_length_b 4.283
_cell_length_c 20.724
_cell_angle_alpha 90.00
_cell_angle_beta 90.00
_cell_angle_gamma 90.00
_space_group_name_H-M_alt 'I 4/m m m'
_space_group_IT_number 139
_space_group_name_Hall '-I 4 2'
loop_
_atom_site_label
_atom_site_type_symbol
_atom_site_fract_x
_atom_site_fract_y
_atom_site_fract_z
_atom_site_occupancy
Te1 Te 0.000 0.000 0.000 1
I1 I 0.000 0.500 0.250 1
Cl1 Cl 0.000 0.000 0.424 1
```

#Q
Compound: TeI2Cl2
Source: the Alexandria database
Functional: PBE
Structure: optimized geometry

Properties
Crystal system: tetragonal
Mass density, g cm⁻³: 5.08

```
data_TeI2Cl2
_chemical_formula_sum 'Te2 I4 Cl4'
_cell_length_a 4.434
_cell_length_b 4.434
_cell_length_c 15.037
_cell_angle_alpha 90.00
_cell_angle_beta 90.00
_cell_angle_gamma 90.00
_space_group_name_H-M_alt 'I 4/m m m'
_space_group_IT_number 139
_space_group_name_Hall '-I 4 2'
loop_
_atom_site_label
_atom_site_type_symbol
_atom_site_fract_x
_atom_site_fract_y
_atom_site_fract_z
_atom_site_occupancy
Te1 Te 0.000 0.000 0.000 1
I1 I 0.000 0.000 0.404 1
Cl1 Cl 0.000 0.500 0.250 1
```

#P ends up most stable, edging out the next structure by 53 meV/atom.

#P
Compound: Te2ICl
Source: the Alexandria database
Functional: PBE
Structure: optimized geometry

Properties
Crystal system: trigonal
Mass density, g cm⁻³: 5.47

```
data_Te2ICl
_chemical_formula_sum 'Te6 I3 Cl3'
_cell_length_a 3.3913
_cell_length_b 3.3913
_cell_length_c 38.1574
_cell_angle_alpha 90.00
_cell_angle_beta 90.00
_cell_angle_gamma 120.00
_space_group_name_H-M_alt 'R -3 m'
_space_group_IT_number 166
_space_group_name_Hall '-R 3 2"'
loop_
_atom_site_label
_atom_site_type_symbol
_atom_site_fract_x
_atom_site_fract_y
_atom_site_fract_z
_atom_site_occupancy
Te1 Te 0.0000 0.0000 0.0693 1
I1 I 0.0000 0.0000 0.5000 1
Cl1 Cl 0.0000 0.0000 0.0000 1
```

#Q
Compound: Te2ICl
Source: the Alexandria database
Functional: PBE
Structure: optimized geometry

Properties
Crystal system: trigonal
Mass density, g cm⁻³: 4.44

```
data_Te2ICl
_chemical_formula_sum 'Te6 I3 Cl3'
_cell_length_a 5.4113
_cell_length_b 5.4113
_cell_length_c 18.4842
_cell_angle_alpha 90.00
_cell_angle_beta 90.00
_cell_angle_gamma 120.00
_space_group_name_H-M_alt 'R -3 m'
_space_group_IT_number 166
_space_group_name_Hall '-R 3 2"'
loop_
_atom_site_label
_atom_site_type_symbol
_atom_site_fract_x
_atom_site_fract_y
_atom_site_fract_z
_atom_site_occupancy
Te1 Te 0.0000 0.0000 0.1607 1
I1 I 0.0000 0.0000 0.0000 1
Cl1 Cl 0.0000 0.0000 0.5000 1
```

#Q ends up most stable, edging out the next structure by 219 meV/atom.

#P
Compound: Te2ICl
Source: the Alexandria database
Functional: PBE
Structure: optimized geometry

Properties
Crystal system: cubic
Mass density, g cm⁻³: 6.15

```
data_Te2ICl
_chemical_formula_sum 'Te8 I4 Cl4'
_cell_length_a 7.667
_cell_length_b 7.667
_cell_length_c 7.667
_cell_angle_alpha 90.00
_cell_angle_beta 90.00
_cell_angle_gamma 90.00
_space_group_name_H-M_alt 'F m -3 m'
_space_group_IT_number 225
_space_group_name_Hall '-F 4 2 3'
loop_
_atom_site_label
_atom_site_type_symbol
_atom_site_fract_x
_atom_site_fract_y
_atom_site_fract_z
_atom_site_occupancy
Te1 Te 0.250 0.250 0.250 1
I1 I 0.000 0.000 0.000 1
Cl1 Cl 0.000 0.000 0.500 1
```

#Q
Compound: Te2ICl
Source: the Alexandria database
Functional: PBE
Structure: optimized geometry

Properties
Crystal system: tetragonal
Mass density, g cm⁻³: 4.84

```
data_Te2ICl
_chemical_formula_sum 'Te8 I4 Cl4'
_cell_length_a 5.123
_cell_length_b 5.123
_cell_length_c 21.839
_cell_angle_alpha 90.00
_cell_angle_beta 90.00
_cell_angle_gamma 90.00
_space_group_name_H-M_alt 'I -4 2 d'
_space_group_IT_number 122
_space_group_name_Hall 'I -4 2bw'
loop_
_atom_site_label
_atom_site_type_symbol
_atom_site_fract_x
_atom_site_fract_y
_atom_site_fract_z
_atom_site_occupancy
Te1 Te 0.140 0.250 0.125 1
I1 I 0.000 0.000 0.000 1
Cl1 Cl 0.000 0.000 0.500 1
```

#Q ends up most stable, edging out the next structure by 309 meV/atom.

#P
Compound: TeI3Cl
Source: the Alexandria database
Functional: PBE
Structure: optimized geometry

Properties
Crystal system: cubic
Mass density, g cm⁻³: 4.53

```
data_TeI3Cl
_chemical_formula_sum 'Te1 I3 Cl1'
_cell_length_a 5.843
_cell_length_b 5.843
_cell_length_c 5.843
_cell_angle_alpha 90.00
_cell_angle_beta 90.00
_cell_angle_gamma 90.00
_space_group_name_H-M_alt 'P m -3 m'
_space_group_IT_number 221
_space_group_name_Hall '-P 4 2 3'
loop_
_atom_site_label
_atom_site_type_symbol
_atom_site_fract_x
_atom_site_fract_y
_atom_site_fract_z
_atom_site_occupancy
Te1 Te 0.000 0.000 0.000 1
I1 I 0.000 0.500 0.500 1
Cl1 Cl 0.500 0.500 0.500 1
```

#Q
Compound: TeI3Cl
Source: the Alexandria database
Functional: PBE
Structure: optimized geometry

Properties
Crystal system: triclinic
Mass density, g cm⁻³: 3.85

```
data_TeI3Cl
_chemical_formula_sum 'Te2 I6 Cl2'
_cell_length_a 6.525
_cell_length_b 7.614
_cell_length_c 9.455
_cell_angle_alpha 90.06
_cell_angle_beta 90.00
_cell_angle_gamma 93.52
_space_group_name_H-M_alt 'P -1'
_space_group_IT_number 2
loop_
_space_group_symop_operation_xyz
'x,y,z'
'-x,-y,-z'
loop_
_atom_site_label
_atom_site_type_symbol
_atom_site_fract_x
_atom_site_fract_y
_atom_site_fract_z
_atom_site_occupancy
Te1 Te 0.069 0.450 0.250 1
I1 I 0.276 0.317 0.018 1
I2 I 0.276 0.317 0.482 1
I3 I 0.434 0.776 0.250 1
Cl1 Cl 0.210 0.773 0.751 1
```

#Q ends up most stable, edging out the next structure by 806 meV/atom.

#P
Compound: TeI3Cl
Source: the Alexandria database
Functional: PBE
Structure: optimized geometry

Properties
Crystal system: triclinic
Mass density, g cm⁻³: 3.26

```
data_TeI3Cl
_chemical_formula_sum 'Te2 I6 Cl2'
_cell_length_a 6.336
_cell_length_b 9.329
_cell_length_c 9.378
_cell_angle_alpha 90.04
_cell_angle_beta 90.02
_cell_angle_gamma 90.08
_space_group_name_H-M_alt 'P 1'
_space_group_IT_number 1
loop_
_space_group_symop_operation_xyz
'x,y,z'
loop_
_atom_site_label
_atom_site_type_symbol
_atom_site_fract_x
_atom_site_fract_y
_atom_site_fract_z
_atom_site_occupancy
Te1 Te 0.000 0.000 0.000 1
Te2 Te 0.499 0.711 0.500 1
I1 I 0.093 0.665 0.000 1
I2 I 0.277 0.031 0.231 1
I3 I 0.277 0.031 0.769 1
I4 I 0.594 0.046 0.500 1
I5 I 0.776 0.679 0.731 1
I6 I 0.776 0.680 0.268 1
Cl1 Cl 0.380 0.464 0.500 1
Cl2 Cl 0.882 0.247 0.000 1
```

#Q
Compound: TeI3Cl
Source: the Alexandria database
Functional: PBE
Structure: optimized geometry

Properties
Crystal system: cubic
Mass density, g cm⁻³: 4.28

```
data_TeI3Cl
_chemical_formula_sum 'Te1 I3 Cl1'
_cell_length_a 5.955
_cell_length_b 5.955
_cell_length_c 5.955
_cell_angle_alpha 90.00
_cell_angle_beta 90.00
_cell_angle_gamma 90.00
_space_group_name_H-M_alt 'P m -3 m'
_space_group_IT_number 221
_space_group_name_Hall '-P 4 2 3'
loop_
_atom_site_label
_atom_site_type_symbol
_atom_site_fract_x
_atom_site_fract_y
_atom_site_fract_z
_atom_site_occupancy
Te1 Te 0.000 0.000 0.000 1
I1 I 0.000 0.000 0.500 1
Cl1 Cl 0.500 0.500 0.500 1
```

#P ends up most stable, edging out the next structure by 389 meV/atom.